[1]
{"formula": "CsGePt2", "functional": "PBE", "state": "optimized geometry", "lattice": [[-6.5232, 0.5490, 4.1358], [1.9879, -6.3396, 3.9770], [-0.3636, -0.6050, 6.7555]], "species": ["Pt", "Cs", "Pt", "Cs", "Ge", "Ge", "Pt", "Pt"], "fractional_positions": [[0.2498, 0.6250, 0.2500], [0.0000, 0.0000, 0.0000], [0.3750, 0.4998, 0.7500], [0.7500, 0.2500, 0.5000], [0.2500, 0.7500, 0.5000], [0.5000, 0.5000, 0.0000], [0.8750, 0.7502, 0.7500], [0.5002, 0.1250, 0.2500]], "total_magnetization_mub_per_cell": 0.00, "dos_at_fermi_per_ev_atom": 0.3739, "volume_a3_per_atom": 30.125, "e_form_ev_per_atom": 0.00, "energy_ev_per_atom": -4.390}

[2]
{"formula": "CsGe2Pt", "functional": "PBE", "state": "optimized geometry", "lattice": [[-4.2191, 2.0406, 2.0485], [-4.1534, -3.6728, 2.2499], [2.1135, 1.3635, 9.3801]], "species": ["Cs", "Pt", "Ge", "Ge", "Cs", "Pt", "Ge", "Ge"], "fractional_positions": [[0.0724, 0.7500, 0.8552], [0.2715, 0.2500, 0.4571], [0.4622, 0.1420, 0.6830], [0.5378, 0.8580, 0.3170], [0.9276, 0.2500, 0.1448], [0.7285, 0.7500, 0.5429], [0.1453, 0.6420, 0.3170], [0.8547, 0.3580, 0.6830]], "total_magnetization_mub_per_cell": 0.00, "dos_at_fermi_per_ev_atom": 0.4340, "volume_a3_per_atom": 31.475, "e_form_ev_per_atom": -0.20, "energy_ev_per_atom": -4.235}

[3]
{"formula": "CsGe2Pt3", "functional": "PBE", "state": "optimized geometry", "lattice": [[4.1588, 0.0000, 0.0000], [-2.0794, 7.4948, -0.2522], [0.0000, -3.6739, 9.2801]], "species": ["Pt", "Pt", "Ge", "Pt", "Ge", "Ge", "Cs", "Ge", "Pt", "Pt", "Cs", "Pt"], "fractional_positions": [[0.3180, 0.6361, 0.5556], [0.5934, 0.1868, 0.6474], [0.1762, 0.3525, 0.6238], [0.4066, 0.8132, 0.3526], [0.5227, 0.0453, 0.2262], [0.4773, 0.9547, 0.7738], [0.1507, 0.3013, 0.0674], [0.8238, 0.6475, 0.3762], [0.0371, 0.0742, 0.3745], [0.6820, 0.3639, 0.4444], [0.8493, 0.6987, 0.9326], [0.9629, 0.9258, 0.6255]], "total_magnetization_mub_per_cell": 0.00, "dos_at_fermi_per_ev_atom": 0.4086, "volume_a3_per_atom": 23.784, "e_form_ev_per_atom": -0.41, "energy_ev_per_atom": -5.113}

[4]
{"formula": "CsGe2Pt3", "functional": "PBE", "state": "optimized geometry", "lattice": [[4.2002, 0.0000, 0.0000], [0.0000, 7.4303, 0.0000], [0.0000, 0.0000, 9.5082]], "species": ["Cs", "Ge", "Pt", "Pt", "Pt", "Cs", "Pt", "Ge", "Pt", "Ge", "Pt", "Ge"], "fractional_positions": [[0.0000, 0.0155, 0.9198], [0.0000, 0.9733, 0.3091], [0.5000, 0.7873, 0.3457], [0.0000, 0.3016, 0.4528], [0.0000, 0.8016, 0.5472], [0.0000, 0.5155, 0.0802], [0.5000, 0.6552, 0.7054], [0.0000, 0.4733, 0.6909], [0.5000, 0.2873, 0.6543], [0.5000, 0.4685, 0.3915], [0.5000, 0.1552, 0.2947], [0.5000, 0.9685, 0.6085]], "total_magnetization_mub_per_cell": 0.00, "dos_at_fermi_per_ev_atom": 0.5971, "volume_a3_per_atom": 24.728, "e_form_ev_per_atom": -0.37, "energy_ev_per_atom": -5.070}

[5]
{"formula": "Cs2Ge2Pt3", "functional": "PBE", "state": "optimized geometry", "lattice": [[-2.0930, -3.0664, -1.9950], [4.8528, -5.0581, -1.7686], [-0.6724, -5.4903, 4.6922]], "species": ["Pt", "Cs", "Pt", "Pt", "Cs", "Ge", "Ge"], "fractional_positions": [[0.5000, 0.0000, 0.0000], [0.1506, 0.4520, 0.2468], [0.6676, 0.0801, 0.5847], [0.3324, 0.9199, 0.4153], [0.8494, 0.5480, 0.7532], [0.1094, 0.0123, 0.7690], [0.8906, 0.9877, 0.2310]], "total_magnetization_mub_per_cell": 0.00, "dos_at_fermi_per_ev_atom": 0.3375, "volume_a3_per_atom": 28.016, "e_form_ev_per_atom": -0.35, "energy_ev_per_atom": -4.499}

[6]
{"formula": "CsGePt2", "functional": "PBE", "state": "optimized geometry", "lattice": [[4.4052, 0.0000, 0.0000], [2.2026, 3.8150, 0.0000], [2.2026, 1.2717, 6.6335]], "species": ["Cs", "Pt", "Pt", "Ge"], "fractional_positions": [[0.0000, 0.0000, 0.0000], [0.1886, 0.1886, 0.4341], [0.8114, 0.8114, 0.5659], [0.5000, 0.5000, 0.5000]], "total_magnetization_mub_per_cell": 0.00, "dos_at_fermi_per_ev_atom": 0.3355, "volume_a3_per_atom": 27.871, "e_form_ev_per_atom": -0.31, "energy_ev_per_atom": -4.699}

[7]
{"formula": "CsGePt3", "functional": "PBE", "state": "optimized geometry", "lattice": [[5.2167, 0.0000, 0.0000], [0.0000, 5.2167, 0.0000], [0.0000, 0.0000, 5.2167]], "species": ["Pt", "Cs", "Pt", "Ge", "Pt"], "fractional_positions": [[0.0000, 0.5000, 0.0000], [0.0000, 0.0000, 0.0000], [0.5000, 0.0000, 0.0000], [0.5000, 0.5000, 0.5000], [0.0000, 0.0000, 0.5000]], "total_magnetization_mub_per_cell": 0.00, "dos_at_fermi_per_ev_atom": 0.8592, "volume_a3_per_atom": 28.393, "e_form_ev_per_atom": 2.06, "energy_ev_per_atom": -2.654}

[8]
{"formula": "Cs3Ge4Pt2", "functional": "PBE", "state": "optimized geometry", "lattice": [[4.2916, 0.0000, 0.0000], [-2.1458, 7.0389, 0.3867], [0.0000, -2.6170, 9.6235]], "species": ["Cs", "Pt", "Pt", "Ge", "Cs", "Cs", "Ge", "Ge", "Ge"], "fractional_positions": [[0.0000, 0.0000, 0.0000], [0.3065, 0.6130, 0.1837], [0.6935, 0.3870, 0.8163], [0.2908, 0.5816, 0.9238], [0.6062, 0.2124, 0.3864], [0.3938, 0.7876, 0.6136], [0.8665, 0.7331, 0.2892], [0.7092, 0.4184, 0.0762], [0.1335, 0.2669, 0.7108]], "total_magnetization_mub_per_cell": 0.00, "dos_at_fermi_per_ev_atom": 0.5723, "volume_a3_per_atom": 32.784, "e_form_ev_per_atom": -0.30, "energy_ev_per_atom": -3.974}